A plane-wave DFT calculation with PBE-GGA was carried out for Rb3Ac2BiTe6 after structural relaxation.

abc: 8.3138 8.3138 9.0417
angles: 98.84 98.84 120.01
Fractional coordinates of all 12 atoms:
Te 0.9303 0.6090 0.7909
Te 0.7489 0.7489 0.2094
Te 0.0697 0.3910 0.2091
Ac 0.3336 0.6664 0.0000
Ac 0.6664 0.3336 0.0000
Te 0.6090 0.9303 0.7909
Bi 0.0000 0.0000 0.0000
Te 0.2511 0.2511 0.7906
Rb 0.5000 0.5000 0.5000
Te 0.3910 0.0697 0.2091
Rb 0.8320 0.1680 0.5000
Rb 0.1680 0.8320 0.5000

volume = 42.915 Å³ per atom
formation energy without anion corrections = -1.19 eV per atom
total DFT energy (no corrections) = -4.01 eV/atom

A plane-wave DFT calculation with PBE-GGA was carried out for Rb2AcBiTe4 after structural relaxation.

abc: 4.7554 8.2356 9.0474
angles: 107.67 90.00 90.00
Fractional coordinates of all 8 atoms:
Bi 0.0000 0.0000 0.0000
Ac 0.5000 0.5000 0.0000
Rb 0.5000 0.0000 0.5000
Te 0.0000 0.2521 0.7889
Te 0.0000 0.7479 0.2111
Te 0.5000 0.2237 0.2045
Te 0.5000 0.7763 0.7955
Rb 0.0000 0.5000 0.5000

volume = 42.201 Å³ per atom
formation energy without anion corrections = -1.04 eV per atom
total DFT energy (no corrections) = -3.85 eV/atom

A plane-wave DFT calculation with PBE-GGA was carried out for AcReBi after structural relaxation.

abc: 6.4552 6.4666 9.2581
angles: 70.32 135.57 136.81
Fractional coordinates of all 6 atoms:
Ac 0.3690 0.2458 0.3072
Ac 0.6310 0.7542 0.6928
Bi 0.5450 0.9201 0.2322
Re 0.6964 0.4533 0.0744
Bi 0.4550 0.0799 0.7678
Re 0.3036 0.5467 0.9256

formation energy from the elements = -0.169 eV/f.u.
volume = 28.502 Å³ per atom
total DFT energy (no corrections) = -6.87 eV/atom

A plane-wave DFT calculation with PBE-GGA was carried out for Ac3ReBi after structural relaxation.

abc: 5.7352 5.7352 5.7352
angles: 90.00 90.00 90.00
Each line ends with the local moment (μB).
Fractional coordinates of all 5 atoms:
Ac 0.5000 0.0000 0.0000  0.01
Re 0.0000 0.0000 0.0000  0.08
Bi 0.5000 0.5000 0.5000  0.00
Ac 0.0000 0.5000 0.0000  0.01
Ac 0.0000 0.0000 0.5000  0.01

formation energy from the elements = -0.220 eV/f.u.
volume = 37.729 Å³ per atom
total DFT energy (no corrections) = -5.77 eV/atom

A plane-wave DFT calculation with PBE-GGA was carried out for AcBi2Rh after structural relaxation.

abc: 6.1811 6.3058 7.3833
angles: 78.54 65.25 61.68
Fractional coordinates of all 8 atoms:
Ac 0.1476 0.7500 0.7048
Bi 0.5813 0.8778 0.2033
Rh 0.2671 0.2500 0.4657
Bi 0.7847 0.3778 0.7967
Bi 0.4187 0.1222 0.7967
Rh 0.7329 0.7500 0.5343
Bi 0.2153 0.6222 0.2033
Ac 0.8524 0.2500 0.2952

formation energy from the elements = -2.439 eV/f.u.
volume = 28.758 Å³ per atom
total DFT energy (no corrections) = -5.42 eV/atom
relative energy among the computed polymorphs = 0.0000 eV per atom

A plane-wave DFT calculation with PBE-GGA was carried out for Ac2BiRh3 after structural relaxation.

abc: 4.5324 4.5324 17.7877
angles: 90.00 90.00 120.00
Fractional coordinates of all 12 atoms:
Rh 0.6667 0.3333 0.2500
Rh 0.3333 0.6667 0.7500
Bi 0.6667 0.3333 0.7500
Rh 0.3333 0.6667 0.0007
Ac 0.0000 0.0000 0.1109
Rh 0.6667 0.3333 0.9993
Ac 0.0000 0.0000 0.8891
Rh 0.3333 0.6667 0.4993
Rh 0.6667 0.3333 0.5007
Bi 0.3333 0.6667 0.2500
Ac 0.0000 0.0000 0.6109
Ac 0.0000 0.0000 0.3891

formation energy from the elements = -3.291 eV/f.u.
volume = 26.371 Å³ per atom
total DFT energy (no corrections) = -6.24 eV/atom
relative energy among the computed polymorphs = 0.0000 eV per atom